(1)
# La6TlAu PBE optimized geometry
data_La6TlAu
_space_group_name_H-M_alt 'C 1 2/m 1'
_space_group_IT_number 12
_cell_length_a 15.636
_cell_length_b 5.769
_cell_length_c 5.963
_cell_angle_alpha 90.00
_cell_angle_beta 109.27
_cell_angle_gamma 90.00
loop_
_space_group_symop_operation_xyz
'x,y,z'
'-x,-y,-z'
'-x,y,-z'
'x,-y,z'
'x+1/2,y+1/2,z'
'-x+1/2,-y+1/2,-z'
'-x+1/2,y+1/2,-z'
'x+1/2,-y+1/2,z'
loop_
_atom_site_label
_atom_site_fract_x
_atom_site_fract_y
_atom_site_fract_z
La1 0.113 0.000 0.111
La2 0.116 0.500 0.649
La3 0.232 0.500 0.306
Tl1 0.000 0.000 0.500
Au1 0.000 0.500 0.000
# ΔH_f (0 K) = -0.25 eV per atom
# Raw total energy = -4.651 eV/atom

***

(2)
# TiGeS2N PBE optimized geometry
data_TiGeS2N
_space_group_name_H-M_alt 'P 4/m m m'
_space_group_IT_number 123
_space_group_name_Hall '-P 4 2'
_cell_length_a 4.805
_cell_length_b 4.805
_cell_length_c 3.566
_cell_angle_alpha 90.00
_cell_angle_beta 90.00
_cell_angle_gamma 90.00
loop_
_atom_site_label
_atom_site_fract_x
_atom_site_fract_y
_atom_site_fract_z
Ti1 0.000 0.000 0.000
Ge1 0.500 0.500 0.500
S1 0.000 0.500 0.500
N1 0.500 0.500 0.000
# Distance to the lowest polymorph of the same formula = 508 meV per atom
# Raw total energy = -5.430 eV/atom

***

(3)
# ErTm3Sc6 PBE optimized geometry
data_ErTm3Sc6
_space_group_name_H-M_alt 'R 3'
_space_group_IT_number 146
_space_group_name_Hall 'R 3'
_cell_length_a 9.1695
_cell_length_b 9.1695
_cell_length_c 11.3449
_cell_angle_alpha 90.00
_cell_angle_beta 90.00
_cell_angle_gamma 120.00
loop_
_atom_site_label
_atom_site_fract_x
_atom_site_fract_y
_atom_site_fract_z
Er1 0.0000 0.0000 0.0000
Tm1 0.0000 0.0000 0.2557
Tm2 0.0000 0.0000 0.5006
Tm3 0.0000 0.0000 0.7552
Sc1 0.9999 0.3273 0.6421
Sc2 0.0005 0.6725 0.1417
# ΔH_f (0 K) = 0.40 eV per atom
# Distance to the lowest polymorph of the same formula = 241 meV per atom
# Raw total energy = -5.201 eV/atom

***

(4)
# RbCa2PdSe PBE optimized geometry
data_RbCa2PdSe
_space_group_name_H-M_alt 'P 4/m m m'
_space_group_IT_number 123
_space_group_name_Hall '-P 4 2'
_cell_length_a 5.518
_cell_length_b 5.518
_cell_length_c 5.539
_cell_angle_alpha 90.00
_cell_angle_beta 90.00
_cell_angle_gamma 90.00
loop_
_atom_site_label
_atom_site_fract_x
_atom_site_fract_y
_atom_site_fract_z
Rb1 0.000 0.000 0.000
Ca1 0.000 0.500 0.500
Pd1 0.500 0.500 0.500
Se1 0.500 0.500 0.000
# Raw total energy = -3.149 eV/atom

***

(5)
# Na2YInSn2 PBE optimized geometry
data_Na2YInSn2
_space_group_name_H-M_alt 'P m c 21'
_space_group_IT_number 26
_cell_length_a 4.635
_cell_length_b 9.475
_cell_length_c 7.626
_cell_angle_alpha 90.00
_cell_angle_beta 90.00
_cell_angle_gamma 90.00
loop_
_space_group_symop_operation_xyz
'x,y,z'
'-x,-y,z+1/2'
'-x,y,z'
'x,-y,z+1/2'
loop_
_atom_site_label
_atom_site_fract_x
_atom_site_fract_y
_atom_site_fract_z
Na1 0.000 0.071 0.000
Na2 0.500 0.170 0.300
Y1 0.500 0.448 0.928
In1 0.000 0.319 0.600
Sn1 0.000 0.380 0.209
Sn2 0.500 0.160 0.722
# ΔH_f (0 K) = -0.37 eV per atom
# Raw total energy = -3.676 eV/atom

***

(6)
# Sc2NbFe5Si2 PBE optimized geometry
data_Sc2NbFe5Si2
_space_group_name_H-M_alt 'P 4/m b m'
_space_group_IT_number 127
_space_group_name_Hall '-P 4 2ab'
_cell_length_a 9.269
_cell_length_b 9.269
_cell_length_c 3.178
_cell_angle_alpha 90.00
_cell_angle_beta 90.00
_cell_angle_gamma 90.00
loop_
_atom_site_label
_atom_site_fract_x
_atom_site_fract_y
_atom_site_fract_z
Sc1 0.173 0.327 0.000
Nb1 0.000 0.000 0.000
Fe1 0.000 0.500 0.500
Fe2 0.066 0.792 0.500
Si1 0.125 0.625 0.000
# Raw total energy = -7.958 eV/atom

***

(7)
# NbZn2Cd PBE optimized geometry
data_NbZn2Cd
_space_group_name_H-M_alt 'P 4/m m m'
_space_group_IT_number 123
_space_group_name_Hall '-P 4 2'
_cell_length_a 4.161
_cell_length_b 4.161
_cell_length_c 3.910
_cell_angle_alpha 90.00
_cell_angle_beta 90.00
_cell_angle_gamma 90.00
loop_
_atom_site_label
_atom_site_fract_x
_atom_site_fract_y
_atom_site_fract_z
Nb1 0.000 0.000 0.000
Zn1 0.000 0.500 0.500
Cd1 0.500 0.500 0.000
# ΔH_f (0 K) = -0.01 eV per atom
# Raw total energy = -3.393 eV/atom

***

(8)
# Hf5Zr2AgOs2 PBE optimized geometry
data_Hf5Zr2AgOs2
_space_group_name_H-M_alt 'P 4/m b m'
_space_group_IT_number 127
_space_group_name_Hall '-P 4 2ab'
_cell_length_a 11.262
_cell_length_b 11.262
_cell_length_c 3.341
_cell_angle_alpha 90.00
_cell_angle_beta 90.00
_cell_angle_gamma 90.00
loop_
_atom_site_label
_atom_site_fract_x
_atom_site_fract_y
_atom_site_fract_z
Hf1 0.000 0.500 0.000
Hf2 0.047 0.207 0.000
Zr1 0.184 0.684 0.500
Ag1 0.000 0.000 0.500
Os1 0.137 0.363 0.500
# ΔH_f (0 K) = -0.18 eV per atom
# Raw total energy = -9.399 eV/atom

***

(9)
# RbUZnO4 PBE optimized geometry
data_RbUZnO4
_space_group_name_H-M_alt 'I m m a'
_space_group_IT_number 74
_space_group_name_Hall '-I 2b 2'
_cell_length_a 6.292
_cell_length_b 7.023
_cell_length_c 10.947
_cell_angle_alpha 90.00
_cell_angle_beta 90.00
_cell_angle_gamma 90.00
loop_
_atom_site_label
_atom_site_fract_x
_atom_site_fract_y
_atom_site_fract_z
Rb1 0.000 0.250 0.173
U1 0.000 0.000 0.500
Zn1 0.250 0.250 0.750
O1 0.000 0.063 0.696
O2 0.203 0.250 0.491
# Raw total energy = -6.995 eV/atom

***

(10)
# Tb4Nd3In PBE optimized geometry
data_Tb4Nd3In
_space_group_name_H-M_alt 'C 1 2/m 1'
_space_group_IT_number 12
_cell_length_a 26.078
_cell_length_b 3.457
_cell_length_c 5.874
_cell_angle_alpha 90.00
_cell_angle_beta 97.45
_cell_angle_gamma 90.00
loop_
_space_group_symop_operation_xyz
'x,y,z'
'-x,-y,-z'
'-x,y,-z'
'x,-y,z'
'x+1/2,y+1/2,z'
'-x+1/2,-y+1/2,-z'
'-x+1/2,y+1/2,-z'
'x+1/2,-y+1/2,z'
loop_
_atom_site_label
_atom_site_fract_x
_atom_site_fract_y
_atom_site_fract_z
Tb1 0.100 0.000 0.174
Tb2 0.218 0.500 0.234
Nd1 0.000 0.000 0.500
Nd2 0.150 0.000 0.705
In1 0.000 0.500 0.000
# ΔH_f (0 K) = 0.06 eV per atom
# Distance to the lowest polymorph of the same formula = 162 meV per atom
# Raw total energy = -4.384 eV/atom

***

(11)
# ZrBrN PBE optimized geometry
data_ZrBrN
_space_group_name_H-M_alt 'R -3 m'
_space_group_IT_number 166
_space_group_name_Hall '-R 3 2"'
_cell_length_a 3.6826
_cell_length_b 3.6826
_cell_length_c 31.9212
_cell_angle_alpha 90.00
_cell_angle_beta 90.00
_cell_angle_gamma 120.00
loop_
_atom_site_label
_atom_site_fract_x
_atom_site_fract_y
_atom_site_fract_z
Zr1 0.0000 0.0000 0.1257
Br1 0.0000 0.0000 0.3966
N1 0.0000 0.0000 0.1941
# Raw total energy = -7.780 eV/atom

***

(12)
# LaTl3Ir PBE optimized geometry
data_LaTl3Ir
_space_group_name_H-M_alt 'P m -3 m'
_space_group_IT_number 221
_space_group_name_Hall '-P 4 2 3'
_cell_length_a 5.258
_cell_length_b 5.258
_cell_length_c 5.258
_cell_angle_alpha 90.00
_cell_angle_beta 90.00
_cell_angle_gamma 90.00
loop_
_atom_site_label
_atom_site_fract_x
_atom_site_fract_y
_atom_site_fract_z
La1 0.000 0.000 0.000
Tl1 0.000 0.500 0.500
Ir1 0.500 0.500 0.500
# ΔH_f (0 K) = 0.11 eV per atom
# Distance to the lowest polymorph of the same formula = 0 meV per atom
# Raw total energy = -4.072 eV/atom